Record 1
{"formula": "Ho3Mg3In2Ga", "functional": "PBE", "state": "optimized geometry", "final_energy_ev_per_cell": -30.514, "space_group": "P-62m", "cell": [[7.481, 0.000, 0.000], [-3.740, 6.478, 0.000], [0.000, 0.000, 4.537]], "species": ["Ga", "Ho", "Ho", "Ho", "In", "In", "Mg", "Mg", "Mg"], "frac_coords": [[0.000, 0.000, 0.000], [0.581, 0.000, 0.000], [0.419, 0.419, 0.000], [0.000, 0.581, 0.000], [0.667, 0.333, 0.500], [0.333, 0.667, 0.500], [0.238, 0.000, 0.500], [0.000, 0.238, 0.500], [0.762, 0.762, 0.500]]}



Record 2
{"formula": "Nd2HoMg3InGa2", "functional": "PBE", "state": "optimized geometry", "final_energy_ev_per_cell": -31.717, "space_group": "Amm2", "cell": [[4.612, 0.000, 0.000], [0.000, 6.408, 3.744], [0.000, -6.408, 3.744]], "species": ["Ga", "Ga", "Ho", "In", "Mg", "Mg", "Mg", "Nd", "Nd"], "frac_coords": [[0.500, 0.662, 0.336], [0.500, 0.336, 0.662], [0.000, 0.435, 0.435], [0.000, 0.006, 0.006], [0.500, 0.249, 0.001], [0.500, 0.001, 0.249], [0.500, 0.750, 0.750], [0.000, 0.999, 0.562], [0.000, 0.562, 0.999]]}



Record 3
{"formula": "NdHo2Mg3InGa2", "functional": "PBE", "state": "optimized geometry", "final_energy_ev_per_cell": -31.487, "space_group": "Amm2", "cell": [[4.579, 0.000, 0.000], [0.000, 6.424, 3.664], [0.000, -6.424, 3.664]], "species": ["Ga", "Ga", "Ho", "Ho", "In", "Mg", "Mg", "Mg", "Nd"], "frac_coords": [[0.500, 0.671, 0.331], [0.500, 0.331, 0.671], [0.000, 0.564, 0.002], [0.000, 0.002, 0.564], [0.000, 0.994, 0.994], [0.500, 0.999, 0.249], [0.500, 0.751, 0.751], [0.500, 0.249, 0.999], [0.000, 0.439, 0.439]]}



Record 4
{"formula": "Pr2HoMg3InGa2", "functional": "PBE", "state": "optimized geometry", "final_energy_ev_per_cell": -31.713, "space_group": "Amm2", "cell": [[4.630, 0.000, 0.000], [0.000, 6.436, 3.765], [0.000, -6.436, 3.765]], "species": ["Ga", "Ga", "Ho", "In", "Mg", "Mg", "Mg", "Pr", "Pr"], "frac_coords": [[0.500, 0.664, 0.339], [0.500, 0.339, 0.664], [0.000, 0.566, 0.566], [0.000, 0.993, 0.993], [0.500, 0.250, 0.250], [0.500, 0.998, 0.751], [0.500, 0.751, 0.998], [0.000, 0.438, 0.001], [0.000, 0.001, 0.438]]}



Record 5
{"formula": "TbHo2Mg3InGa2", "functional": "PBE", "state": "optimized geometry", "final_energy_ev_per_cell": -31.353, "space_group": "Amm2", "cell": [[-4.151, 0.047, -1.860], [-2.674, 3.136, 6.046], [2.507, 4.140, -5.488]], "species": ["Ga", "Ga", "Ho", "Ho", "In", "Mg", "Mg", "Mg", "Tb"], "frac_coords": [[0.500, 0.667, 0.332], [0.500, 0.332, 0.667], [0.000, 0.000, 0.437], [0.000, 0.437, 0.000], [0.000, 0.001, 0.001], [0.500, 0.750, 0.000], [0.500, 0.250, 0.250], [0.500, 0.000, 0.750], [0.000, 0.562, 0.562]]}



Record 6
{"formula": "Tb2HoMg3InGa2", "functional": "PBE", "state": "optimized geometry", "final_energy_ev_per_cell": -31.442, "space_group": "Amm2", "cell": [[4.557, 0.000, 0.000], [0.000, 6.336, 3.670], [0.000, -6.336, 3.670]], "species": ["Ga", "Ga", "Ho", "In", "Mg", "Mg", "Mg", "Tb", "Tb"], "frac_coords": [[0.500, 0.666, 0.334], [0.500, 0.334, 0.666], [0.000, 0.563, 0.563], [0.000, 0.999, 0.999], [0.500, 0.250, 0.250], [0.500, 0.000, 0.750], [0.500, 0.750, 0.000], [0.000, 0.438, 0.000], [0.000, 0.000, 0.438]]}



Record 7
{"formula": "Ho2TmMg3InGa2", "functional": "PBE", "state": "optimized geometry", "final_energy_ev_per_cell": -31.102, "space_group": "Amm2", "cell": [[4.535, 0.000, 0.000], [0.000, 6.292, 3.645], [0.000, -6.292, 3.645]], "species": ["Ga", "Ga", "Ho", "Ho", "In", "Mg", "Mg", "Mg", "Tm"], "frac_coords": [[0.500, 0.666, 0.334], [0.500, 0.334, 0.666], [0.000, 0.438, 0.000], [0.000, 0.000, 0.438], [0.000, 0.999, 0.999], [0.500, 0.250, 0.250], [0.500, 0.000, 0.750], [0.500, 0.750, 0.000], [0.000, 0.562, 0.562]]}



Record 8
{"formula": "HoInGaNi", "functional": "PBE", "state": "optimized geometry", "final_energy_ev_per_cell": -35.973, "space_group": "Amm2", "cell": [[-1.224, 2.432, 6.508], [4.141, 3.667, -0.591], [0.451, 5.221, -1.866]], "species": ["Ga", "Ga", "Ho", "Ho", "In", "In", "Ni", "Ni"], "frac_coords": [[0.194, 0.352, 0.352], [0.806, 0.352, 0.352], [0.000, 0.062, 0.062], [0.500, 0.928, 0.928], [0.296, 0.641, 0.641], [0.704, 0.641, 0.641], [0.500, 0.226, 0.226], [0.000, 0.797, 0.797]]}



Record 9
{"formula": "HoInGaNi", "functional": "PBE", "state": "optimized geometry", "final_energy_ev_per_cell": -35.994, "space_group": "Cmc2_1", "cell": [[2.116, -5.117, 0.000], [2.116, 5.117, 0.000], [0.000, 0.000, 7.019]], "species": ["Ga", "Ga", "Ho", "Ho", "In", "In", "Ni", "Ni"], "frac_coords": [[0.650, 0.350, 0.048], [0.350, 0.650, 0.548], [0.929, 0.071, 0.260], [0.071, 0.929, 0.760], [0.636, 0.364, 0.446], [0.364, 0.636, 0.946], [0.213, 0.787, 0.246], [0.787, 0.213, 0.746]]}



Record 10
{"formula": "HoInGaNi", "functional": "PBE", "state": "optimized geometry", "final_energy_ev_per_cell": -36.198, "space_group": "C2/m", "cell": [[-5.154, 1.599, 1.185], [-3.116, 0.135, 4.561], [2.542, 6.480, 1.275]], "species": ["Ga", "Ga", "Ho", "Ho", "In", "In", "Ni", "Ni"], "frac_coords": [[0.640, 0.640, 0.054], [0.360, 0.360, 0.946], [0.929, 0.929, 0.227], [0.071, 0.071, 0.773], [0.644, 0.644, 0.450], [0.356, 0.356, 0.550], [0.213, 0.213, 0.220], [0.787, 0.787, 0.780]]}



Record 11
{"formula": "Ho2InGa3Ni2", "functional": "PBE", "state": "optimized geometry", "final_energy_ev_per_cell": -36.810, "space_group": "Cm", "cell": [[5.059, -2.080, 0.000], [5.059, 2.080, 0.000], [-0.116, 0.000, 6.859]], "species": ["Ga", "Ga", "Ga", "Ho", "Ho", "In", "Ni", "Ni"], "frac_coords": [[0.355, 0.355, 0.451], [0.640, 0.640, 0.557], [0.649, 0.649, 0.947], [0.073, 0.073, 0.257], [0.931, 0.931, 0.734], [0.361, 0.361, 0.049], [0.784, 0.784, 0.267], [0.207, 0.207, 0.738]]}



Record 12
{"formula": "Ho2In3GaNi2", "functional": "PBE", "state": "optimized geometry", "final_energy_ev_per_cell": -35.336, "space_group": "Cm", "cell": [[5.168, -2.117, 0.000], [5.168, 2.117, 0.000], [-0.070, 0.000, 7.230]], "species": ["Ga", "Ho", "Ho", "In", "In", "In", "Ni", "Ni"], "frac_coords": [[0.650, 0.650, 0.049], [0.938, 0.938, 0.244], [0.067, 0.067, 0.762], [0.644, 0.644, 0.446], [0.355, 0.355, 0.547], [0.358, 0.358, 0.953], [0.209, 0.209, 0.239], [0.780, 0.780, 0.759]]}



Record 13
{"formula": "Ho2InGaPt4", "functional": "PBE", "state": "optimized geometry", "final_energy_ev_per_cell": -47.216, "space_group": "P-3m1", "cell": [[-1.255, 3.347, 2.693], [-1.213, -4.204, 0.941], [7.571, -1.090, 4.884]], "species": ["Ga", "Ho", "Ho", "In", "Pt", "Pt", "Pt", "Pt"], "frac_coords": [[0.000, 0.000, 0.500], [0.667, 0.333, 0.255], [0.333, 0.667, 0.745], [0.000, 0.000, 0.000], [0.333, 0.667, 0.097], [0.333, 0.667, 0.416], [0.667, 0.333, 0.584], [0.667, 0.333, 0.903]]}